Material: Sr2AlV11O22
Method: DFT, PBE+U
State: relaxed

a b c (Å): 13.3763 5.9152 5.9152
angles (deg): 58.96 90.00 90.00
Element x y z (fractional)
Sr: 0.0000 0.0000 0.0000
Sr: 0.5000 0.3251 0.3251
Al: 0.5000 0.9922 0.9922
V: 0.0000 0.3255 0.3255
V: 0.1035 0.6580 0.6580
V: 0.2505 0.1593 0.1593
V: 0.2525 0.1515 0.6650
V: 0.2525 0.6650 0.1515
V: 0.3992 0.6582 0.6582
V: 0.6008 0.6582 0.6582
V: 0.7475 0.1515 0.6650
V: 0.7475 0.6650 0.1515
V: 0.7495 0.1593 0.1593
V: 0.8965 0.6580 0.6580
O: 0.0000 0.4997 0.9554
O: 0.0000 0.5110 0.5110
O: 0.0000 0.9554 0.4997
O: 0.1674 0.3209 0.3209
O: 0.1673 0.8334 0.8334
O: 0.1734 0.3045 0.8362
O: 0.1734 0.8362 0.3045
O: 0.3287 0.0022 0.4824
O: 0.3287 0.4824 0.0022
O: 0.3309 0.4761 0.4761
O: 0.3396 0.9976 0.9976
O: 0.5000 0.3476 0.8153
O: 0.5000 0.8153 0.3476
O: 0.5000 0.8190 0.8190
O: 0.6604 0.9976 0.9976
O: 0.6691 0.4761 0.4761
O: 0.6713 0.0022 0.4824
O: 0.6713 0.4824 0.0022
O: 0.8266 0.3045 0.8362
O: 0.8266 0.8362 0.3045
O: 0.8326 0.3209 0.3209
O: 0.8327 0.8334 0.8334

Properties
Final energy = -7.740 eV/atom
Crystal system = orthorhombic
Space group = No. 38